(1)
Below is a geometry-optimized TlGa3 structure, with properties calculated at the PBE level.

Cell lengths 4.451, 4.451, 4.451 Å; angles 90.00, 90.00, 90.00 degrees
Positions (direct):
Ga 0.500 0.500 0.000
Tl 0.000 0.000 0.000
Ga 0.500 0.000 0.500
Ga 0.000 0.500 0.500

Calculated values
As for the energy: -10.9 eV/cell. Its formation energy is 54 kJ/mol of formula units. The value obtained for the spin magnetization is 0.0 μB/f.u. The density of states at the Fermi level is 2.25 states/eV/f.u.

***

(2)
Below is a geometry-optimized Tl2Ga17 structure, with properties calculated at the PBE level.

Cell lengths 7.391, 7.392, 7.391 Å; angles 81.90, 81.90, 81.90 degrees
Positions (direct):
Ga 0.850 0.364 0.364
Ga 0.000 0.000 0.500
Ga 0.364 0.850 0.364
Ga 0.636 0.636 0.150
Ga 0.104 0.104 0.104
Ga 0.500 0.000 0.000
Tl 0.657 0.657 0.657
Ga 0.896 0.896 0.896
Tl 0.343 0.343 0.343
Ga 0.000 0.500 0.000
Ga 0.707 0.000 0.294
Ga 0.293 0.000 0.706
Ga 0.000 0.294 0.706
Ga 0.000 0.706 0.294
Ga 0.294 0.706 0.000
Ga 0.150 0.636 0.636
Ga 0.636 0.150 0.636
Ga 0.364 0.364 0.850
Ga 0.706 0.294 0.000

Calculated values
As for the energy: -55.5 eV/cell. Its formation energy is 71 kJ/mol of formula units. The value obtained for the spin magnetization is 0.0 μB/f.u. The density of states at the Fermi level is 7.94 states/eV/f.u.

***

(3)
Below is a geometry-optimized TlGa4 structure, with properties calculated at the PBE level.

Cell lengths 5.431, 5.431, 5.431 Å; angles 90.00, 90.00, 90.00 degrees
Positions (direct):
Ga 0.500 0.500 0.000
Tl 0.500 0.500 0.500
Ga 0.000 0.000 0.000
Ga 0.000 0.500 0.500
Ga 0.500 0.000 0.500

Calculated values
As for the energy: -11.1 eV/cell. Its formation energy is 328 kJ/mol of formula units. The value obtained for the spin magnetization is 0.0 μB/f.u. The density of states at the Fermi level is 4.29 states/eV/f.u.

***

(4)
Below is a geometry-optimized TlGa7 structure, with properties calculated at the PBE level.

Cell lengths 4.023, 7.195, 7.195 Å; angles 60.45, 72.71, 72.71 degrees
Positions (direct):
Ga 0.000 0.500 0.500
Ga 0.638 0.178 0.571
Ga 0.638 0.571 0.178
Ga 0.362 0.822 0.429
Ga 0.362 0.429 0.822
Ga 0.265 0.252 0.252
Ga 0.735 0.748 0.748
Tl 0.000 0.000 0.000

Calculated values
As for the energy: -23.3 eV/cell. Its formation energy is 26 kJ/mol of formula units. The value obtained for the spin magnetization is 0.0 μB/f.u. The density of states at the Fermi level is 2.26 states/eV/f.u.

***

(5)
Below is a geometry-optimized TlGa2 structure, with properties calculated at the PBE level.

Cell lengths 5.817, 5.817, 5.817 Å; angles 60.00, 60.00, 60.00 degrees
Positions (direct):
Tl 0.000 0.000 0.000
Ga 0.125 0.625 0.625
Ga 0.625 0.625 0.125
Ga 0.625 0.125 0.625
Tl 0.250 0.250 0.250
Ga 0.625 0.625 0.625

Calculated values
As for the energy: -16.5 eV/cell. Its formation energy is 14 kJ/mol of formula units. The value obtained for the spin magnetization is 0.0 μB/f.u. The density of states at the Fermi level is 0.87 states/eV/f.u.

***

(6)
Below is a geometry-optimized TlGa3 structure, with properties calculated at the PBE level.

Cell lengths 3.081, 5.503, 6.152 Å; angles 116.57, 104.50, 90.00 degrees
Positions (direct):
Tl 0.000 0.952 0.000
Ga 0.500 0.462 0.000
Ga 0.772 0.148 0.543
Ga 0.228 0.605 0.457

Calculated values
As for the energy: -11.0 eV/cell. Its formation energy is 40 kJ/mol of formula units. The value obtained for the spin magnetization is 0.0 μB/f.u. The density of states at the Fermi level is 1.29 states/eV/f.u.

***

(7)
Below is a geometry-optimized TlGa3 structure, with properties calculated at the PBE level.

Cell lengths 5.018, 5.018, 5.018 Å; angles 60.00, 60.00, 60.00 degrees
Positions (direct):
Ga 0.250 0.250 0.250
Ga 0.000 0.000 0.000
Ga 0.750 0.750 0.750
Tl 0.500 0.500 0.500

Calculated values
As for the energy: -11.1 eV/cell. Its formation energy is 37 kJ/mol of formula units. The value obtained for the spin magnetization is 0.0 μB/f.u. The density of states at the Fermi level is 1.08 states/eV/f.u.

***

(8)
Below is a geometry-optimized Tm3TlGa structure, with properties calculated at the PBE level.

Cell lengths 5.290, 7.746, 7.746 Å; angles 120.00, 90.00, 90.00 degrees
Positions (direct):
Tl 0.250 0.333 0.667
Tm 0.750 0.188 0.376
Ga 0.000 0.000 0.000
Tm 0.750 0.624 0.812
Tm 0.250 0.812 0.624
Tm 0.250 0.812 0.188
Tm 0.750 0.188 0.812
Tl 0.750 0.667 0.333
Tm 0.250 0.376 0.188
Ga 0.500 0.000 0.000

Calculated values
As for the energy: -39.6 eV/cell. Its formation energy is -97 kJ/mol of formula units. The value obtained for the spin magnetization is 0.0 μB/f.u. The density of states at the Fermi level is 3.66 states/eV/f.u.

***

(9)
Below is a geometry-optimized Tm2TlGa structure, with properties calculated at the PBE level.

Cell lengths 5.163, 5.163, 5.163 Å; angles 60.00, 60.00, 60.00 degrees
Positions (direct):
Tm 0.750 0.750 0.750
Tm 0.250 0.250 0.250
Tl 0.000 0.000 0.000
Ga 0.500 0.500 0.500

Calculated values
As for the energy: -15.9 eV/cell. Its formation energy is -153 kJ/mol of formula units. The value obtained for the spin magnetization is 0.0 μB/f.u. The density of states at the Fermi level is 1.59 states/eV/f.u.

***

(10)
Below is a geometry-optimized TmTlGa2 structure, with properties calculated at the PBE level.

Cell lengths 4.310, 4.487, 4.487 Å; angles 90.00, 90.00, 90.00 degrees
Positions (direct):
Ga 0.000 0.000 0.500
Ga 0.000 0.500 0.000
Tl 0.500 0.000 0.000
Tm 0.500 0.500 0.500

Calculated values
As for the energy: -14.3 eV/cell. Its formation energy is -131 kJ/mol of formula units. The value obtained for the spin magnetization is 0.0 μB/f.u. The density of states at the Fermi level is 1.50 states/eV/f.u.

***

(11)
Below is a geometry-optimized TmTlGa structure, with properties calculated at the PBE level.

Cell lengths 4.860, 4.860, 8.384 Å; angles 73.15, 73.15, 60.00 degrees
Positions (direct):
Tl 0.624 0.624 0.127
Tm 0.217 0.217 0.349
Ga 0.089 0.089 0.732
Tm 0.783 0.783 0.651
Tl 0.376 0.376 0.873
Ga 0.911 0.911 0.268

Calculated values
As for the energy: -20.1 eV/cell. Its formation energy is -18 kJ/mol of formula units. The value obtained for the spin magnetization is 0.0 μB/f.u. The density of states at the Fermi level is 1.99 states/eV/f.u.

***

(12)
Below is a geometry-optimized Tm5TlGa2 structure, with properties calculated at the PBE level.

Cell lengths 7.639, 7.639, 8.882 Å; angles 115.47, 115.47, 90.00 degrees
Positions (direct):
Tm 0.479 0.309 0.288
Ga 0.126 0.374 0.000
Tm 0.691 0.191 0.712
Tm 0.521 0.691 0.712
Ga 0.626 0.126 0.000
Tl 0.750 0.750 0.500
Tm 0.191 0.021 0.712
Tm 0.000 0.000 0.000
Tm 0.021 0.521 0.712
Tm 0.979 0.479 0.288
Ga 0.874 0.626 0.000
Tm 0.500 0.500 0.000
Tl 0.250 0.250 0.500
Tm 0.309 0.809 0.288
Tm 0.809 0.979 0.288
Ga 0.374 0.874 0.000

Calculated values
As for the energy: -68.8 eV/cell. Its formation energy is -351 kJ/mol of formula units. The value obtained for the spin magnetization is 0.0 μB/f.u. The density of states at the Fermi level is 5.52 states/eV/f.u.

***

(13)
Below is a geometry-optimized Tm3Tl2Ga structure, with properties calculated at the PBE level.

Cell lengths 6.228, 6.483, 8.375 Å; angles 101.78, 111.83, 90.00 degrees
Positions (direct):
Tl 0.556 0.559 0.333
Tm 0.368 0.750 0.000
Tm 0.632 0.250 0.000
Tm 0.943 0.412 0.675
Ga 0.129 0.250 0.000
Tm 0.269 0.088 0.325
Tl 0.444 0.441 0.667
Tl 0.224 0.941 0.667
Tm 0.731 0.912 0.675
Ga 0.871 0.750 0.000
Tm 0.057 0.588 0.325
Tl 0.776 0.059 0.333

Calculated values
As for the energy: -46.1 eV/cell. Its formation energy is -183 kJ/mol of formula units. The value obtained for the spin magnetization is 0.0 μB/f.u. The density of states at the Fermi level is 3.81 states/eV/f.u.

***

(14)
Below is a geometry-optimized Tm8TlGa2 structure, with properties calculated at the PBE level.

Cell lengths 5.116, 8.206, 8.340 Å; angles 117.64, 107.86, 90.00 degrees
Positions (direct):
Tm 0.316 0.041 0.632
Ga 0.779 0.377 0.558
Tm 0.936 0.279 0.871
Tm 0.684 0.959 0.368
Tm 0.851 0.793 0.702
Tl 0.500 0.000 0.000
Tm 0.399 0.538 0.798
Ga 0.221 0.623 0.442
Tm 0.149 0.207 0.298
Tm 0.064 0.721 0.129
Tm 0.601 0.462 0.202

Calculated values
As for the energy: -47.1 eV/cell. Its formation energy is -284 kJ/mol of formula units. The value obtained for the spin magnetization is 0.0 μB/f.u. The density of states at the Fermi level is 9.22 states/eV/f.u.

***

(15)
Below is a geometry-optimized Tm8Tl3Ga2 structure, with properties calculated at the PBE level.

Cell lengths 5.851, 7.703, 9.568 Å; angles 113.74, 103.11, 90.00 degrees
Positions (direct):
Tl 0.000 0.686 0.000
Tm 0.473 0.107 0.726
Tl 0.500 0.000 0.000
Tm 0.527 0.893 0.274
Tl 0.000 0.314 0.000
Tm 0.527 0.381 0.274
Ga 0.372 0.245 0.489
Tm 0.473 0.619 0.726
Tm 0.084 0.696 0.393
Tm 0.916 0.304 0.607
Ga 0.628 0.755 0.511
Tm 0.998 0.893 0.787
Tm 0.002 0.107 0.213

Calculated values
As for the energy: -50.6 eV/cell. Its formation energy is -163 kJ/mol of formula units. The value obtained for the spin magnetization is 0.0 μB/f.u. The density of states at the Fermi level is 12.71 states/eV/f.u.

***

(16)
Below is a geometry-optimized Tm4Tl5Ga2 structure, with properties calculated at the PBE level.

Cell lengths 3.574, 8.124, 9.590 Å; angles 92.65, 90.00, 90.00 degrees
Positions (direct):
Ga 0.000 0.083 0.621
Tm 0.500 0.205 0.854
Tm 0.500 0.795 0.146
Tl 0.000 0.454 0.662
Tl 0.000 0.500 0.000
Tm 0.500 0.773 0.593
Tl 0.000 0.859 0.868
Tm 0.500 0.227 0.407
Ga 0.000 0.917 0.379
Tl 0.000 0.546 0.338
Tl 0.000 0.141 0.132

Calculated values
As for the energy: -39.2 eV/cell. Its formation energy is -329 kJ/mol of formula units. The value obtained for the spin magnetization is 0.0 μB/f.u. The density of states at the Fermi level is 7.74 states/eV/f.u.

***

(17)
Below is a geometry-optimized Tm4TlGa2 structure, with properties calculated at the PBE level.

Cell lengths 4.922, 4.922, 9.504 Å; angles 74.99, 74.99, 60.00 degrees
Positions (direct):
Tm 0.796 0.796 0.613
Tm 0.618 0.618 0.146
Ga 0.100 0.100 0.700
Ga 0.900 0.900 0.300
Tm 0.382 0.382 0.854
Tm 0.204 0.204 0.387
Tl 0.000 0.000 0.000

Calculated values
As for the energy: -27.7 eV/cell. Its formation energy is -138 kJ/mol of formula units. The value obtained for the spin magnetization is 0.0 μB/f.u. The density of states at the Fermi level is 4.56 states/eV/f.u.

***

(18)
Below is a geometry-optimized Tm6TlGa5 structure, with properties calculated at the PBE level.

Cell lengths 6.344, 8.858, 6.998 Å; angles 50.73, 81.54, 76.55 degrees
Positions (direct):
Tm 0.270 0.904 0.655
Ga 0.500 0.136 0.728
Tm 0.270 0.558 0.345
Tm 0.730 0.442 0.655
Ga 0.000 0.310 0.380
Tl 0.000 0.000 0.000
Ga 0.500 0.864 0.272
Ga 0.000 0.690 0.620
Tm 0.228 0.279 0.000
Tm 0.730 0.096 0.345
Tm 0.772 0.721 0.000
Ga 0.500 0.500 0.000

Calculated values
As for the energy: -49.0 eV/cell. Its formation energy is -452 kJ/mol of formula units. The value obtained for the spin magnetization is 0.0 μB/f.u. The density of states at the Fermi level is 7.95 states/eV/f.u.

***

(19)
Below is a geometry-optimized Tm6Tl2Ga structure, with properties calculated at the PBE level.

Cell lengths 5.033, 7.132, 8.730 Å; angles 114.11, 106.77, 90.00 degrees
Positions (direct):
Tl 0.334 0.334 0.667
Tm 0.162 0.405 0.323
Tm 0.162 0.918 0.323
Tl 0.666 0.666 0.333
Tm 0.838 0.082 0.677
Tm 0.500 0.762 0.000
Ga 0.000 0.000 0.000
Tm 0.500 0.238 0.000
Tm 0.838 0.595 0.677

Calculated values
As for the energy: -35.5 eV/cell. Its formation energy is -86 kJ/mol of formula units. The value obtained for the spin magnetization is 0.0 μB/f.u. The density of states at the Fermi level is 9.06 states/eV/f.u.

***

(20)
Below is a geometry-optimized Tm5Tl4Ga structure, with properties calculated at the PBE level.

Cell lengths 3.622, 3.622, 19.512 Å; angles 90.00, 90.00, 90.00 degrees
Positions (direct):
Tm 0.500 0.500 0.500
Tl 0.000 0.000 0.191
Tm 0.500 0.500 0.912
Tl 0.000 0.000 0.396
Tm 0.500 0.500 0.293
Ga 0.000 0.000 0.000
Tl 0.000 0.000 0.809
Tm 0.500 0.500 0.707
Tm 0.500 0.500 0.088
Tl 0.000 0.000 0.604

Calculated values
As for the energy: -38.3 eV/cell. Its formation energy is -335 kJ/mol of formula units. The value obtained for the spin magnetization is 0.1 μB/f.u. The density of states at the Fermi level is 5.64 states/eV/f.u.